A plane-wave DFT calculation with PBE was carried out for an optimized crystal structure of NdTmCuRu.

Properties
ΔH_f (0 K): -25 kJ per mole of atoms

Cell lengths 4.907, 4.907, 4.907 Å; angles 60.00, 60.00, 60.00 degrees
Element x y z (fractional)
1 Ru 0.750 0.750 0.750
2 Tm 0.500 0.500 0.500
3 Nd 0.000 0.000 0.000
4 Cu 0.250 0.250 0.250